[1]
First-principles (PBE) data for Ho3ErBi2 after structural relaxation, as listed in Alexandria via LeMat-Bulk.

Calculated values
Formation enthalpy at 0 K (eV/atom): -0.45

Geometry as CIF:
```
data_Ho3ErBi2
_symmetry_space_group_name_H-M 'C 1 2/m 1'
_symmetry_Int_Tables_number 12
_cell_length_a 18.407
_cell_length_b 4.284
_cell_length_c 10.003
_cell_angle_alpha 90.00
_cell_angle_beta 113.71
_cell_angle_gamma 90.00
loop_
_symmetry_equiv_pos_as_xyz
'x,y,z'
'-x,-y,-z'
'-x,y,-z'
'x,-y,z'
'x+1/2,y+1/2,z'
'-x+1/2,-y+1/2,-z'
'-x+1/2,y+1/2,-z'
'x+1/2,-y+1/2,z'
loop_
_atom_site_label
_atom_site_fract_x
_atom_site_fract_y
_atom_site_fract_z
Ho1 0.055 0.000 0.169
Ho2 0.140 0.500 0.979
Ho3 0.188 0.500 0.391
Er1 0.110 0.000 0.605
Bi1 0.007 0.500 0.341
Bi2 0.247 0.500 0.782
```

***

[2]
First-principles (PBE) data for Na2NpAgF8 after structural relaxation, as listed in Alexandria via LeMat-Bulk.

Calculated values
Energy relative to the elements, uncorrected (eV per atom): -2.71

Geometry as CIF:
```
data_Na2NpAgF8
_symmetry_space_group_name_H-M 'P 1 2/m 1'
_symmetry_Int_Tables_number 10
_cell_length_a 3.898
_cell_length_b 8.222
_cell_length_c 5.542
_cell_angle_alpha 90.00
_cell_angle_beta 90.09
_cell_angle_gamma 90.00
loop_
_symmetry_equiv_pos_as_xyz
'x,y,z'
'-x,-y,-z'
'-x,y,-z'
'x,-y,z'
loop_
_atom_site_label
_atom_site_fract_x
_atom_site_fract_y
_atom_site_fract_z
Na1 0.000 0.217 0.000
Np1 0.500 0.500 0.500
Ag1 0.500 0.000 0.500
F1 0.000 0.500 0.279
F2 0.006 0.000 0.263
F3 0.499 0.297 0.743
```

***

[3]
First-principles (PBE) data for Fe3Tc4 after structural relaxation, as listed in Alexandria via LeMat-Bulk.

Calculated values
Formation enthalpy at 0 K (eV/atom): 0.04

Geometry as CIF:
```
data_Fe3Tc4
_symmetry_space_group_name_H-M 'P 6/m m m'
_symmetry_Int_Tables_number 191
_symmetry_space_group_name_Hall '-P 6 2'
_cell_length_a 4.6472
_cell_length_b 4.6472
_cell_length_c 4.8671
_cell_angle_alpha 90.00
_cell_angle_beta 90.00
_cell_angle_gamma 120.00
loop_
_atom_site_label
_atom_site_fract_x
_atom_site_fract_y
_atom_site_fract_z
Fe1 0.0000 0.5000 0.0000
Tc1 0.0000 0.0000 0.2581
Tc2 0.3333 0.6667 0.5000
```

***

[4]
First-principles (PBE) data for Pm4Pr3Mg after structural relaxation, as listed in Alexandria via LeMat-Bulk.

Calculated values
Formation enthalpy at 0 K (eV/atom): 0.07

Geometry as CIF:
```
data_Pm4Pr3Mg
_symmetry_space_group_name_H-M 'P 4/m m m'
_symmetry_Int_Tables_number 123
_symmetry_space_group_name_Hall '-P 4 2'
_cell_length_a 4.237
_cell_length_b 4.237
_cell_length_c 15.006
_cell_angle_alpha 90.00
_cell_angle_beta 90.00
_cell_angle_gamma 90.00
loop_
_atom_site_label
_atom_site_fract_x
_atom_site_fract_y
_atom_site_fract_z
Pm1 0.000 0.000 0.116
Pm2 0.000 0.000 0.374
Pr1 0.500 0.500 0.254
Pr2 0.500 0.500 0.500
Mg1 0.500 0.500 0.000
```

***

[5]
First-principles (PBE) data for CsAlPb after structural relaxation, as listed in Alexandria via LeMat-Bulk.

Calculated values
Formation enthalpy at 0 K (eV/atom): 0.11

Geometry as CIF:
```
data_CsAlPb
_symmetry_space_group_name_H-M 'C m c m'
_symmetry_Int_Tables_number 63
_symmetry_space_group_name_Hall '-C 2c 2'
_cell_length_a 5.300
_cell_length_b 14.642
_cell_length_c 5.818
_cell_angle_alpha 90.00
_cell_angle_beta 90.00
_cell_angle_gamma 90.00
loop_
_atom_site_label
_atom_site_fract_x
_atom_site_fract_y
_atom_site_fract_z
Cs1 0.000 0.219 0.250
Al1 0.000 0.500 0.000
Pb1 0.000 0.055 0.750
```

***

[6]
First-principles (PBE) data for BaWAu2 after structural relaxation, as listed in Alexandria via LeMat-Bulk.

Calculated values
Formation enthalpy at 0 K (eV/atom): 0.82

Geometry as CIF:
```
data_BaWAu2
_symmetry_space_group_name_H-M 'I -4 m 2'
_symmetry_Int_Tables_number 119
_symmetry_space_group_name_Hall 'I -4 -2'
_cell_length_a 4.401
_cell_length_b 4.401
_cell_length_c 9.969
_cell_angle_alpha 90.00
_cell_angle_beta 90.00
_cell_angle_gamma 90.00
loop_
_atom_site_label
_atom_site_fract_x
_atom_site_fract_y
_atom_site_fract_z
Ba1 0.000 0.000 0.000
W1 0.000 0.500 0.750
Au1 0.000 0.000 0.500
Au2 0.000 0.500 0.250
```

***

- Number 2 is which compound?
  Na2NpAgF8